No. 1
The following is a DFT calculation (PBE) of an optimized crystal structure of ReTc2Ni.

DOS(E_F) = 1.0781 states/eV/atom
energy of formation from the pure elements = 77 meV/atom
electronic total energy = -9.664 eV per atom
E above lowest polymorph = 69 meV per atom

abc: 2.723 2.723 8.847
angles: 81.15 81.15 60.00
Atoms (fractional coordinates):
Re 0.501 0.501 0.497
Tc 0.081 0.081 0.757
Tc 0.252 0.252 0.243
Ni 0.666 0.666 0.003

No. 2
The following is a DFT calculation (PBE) of an optimized crystal structure of Re2TcNi.

DOS(E_F) = 0.7571 states/eV/atom
energy of formation from the pure elements = 88 meV/atom
electronic total energy = -10.173 eV per atom
E above lowest polymorph = 74 meV per atom

abc: 8.892 8.892 8.892
angles: 17.66 17.66 17.66
Atoms (fractional coordinates):
Ni 0.750 0.750 0.750
Re 0.003 0.003 0.003
Re 0.249 0.249 0.249
Tc 0.498 0.498 0.498

No. 3
The following is a DFT calculation (PBE) of an optimized crystal structure of ReTcNi2.

DOS(E_F) = 1.5707 states/eV/atom
energy of formation from the pure elements = 299 meV/atom
electronic total energy = -8.295 eV per atom
E above lowest polymorph = 332 meV per atom

abc: 4.173 4.173 4.173
angles: 60.00 60.00 60.00
Atoms (fractional coordinates):
Re 0.500 0.500 0.500
Tc 0.000 0.000 0.000
Ni 0.250 0.250 0.250
Ni 0.750 0.750 0.750

No. 4
The following is a DFT calculation (PBE) of an optimized crystal structure of ReTcNi.

DOS(E_F) = 0.9695 states/eV/atom
energy of formation from the pure elements = 105 meV/atom
electronic total energy = -9.427 eV per atom
E above lowest polymorph = 81 meV per atom

abc: 2.644 5.385 6.013
angles: 77.62 78.25 91.97
Atoms (fractional coordinates):
Tc 0.317 0.431 0.321
Tc 0.683 0.569 0.679
Ni 0.999 0.241 0.004
Ni 0.001 0.759 0.996
Re 0.626 0.090 0.674
Re 0.374 0.910 0.326

No. 5
The following is a DFT calculation (PBE) of an optimized crystal structure of ReTc2Ni.

DOS(E_F) = 1.1998 states/eV/atom
energy of formation from the pure elements = 746 meV/atom
electronic total energy = -8.994 eV per atom
E above lowest polymorph = 739 meV per atom

abc: 6.883 6.883 5.513
angles: 51.38 51.38 90.00
Atoms (fractional coordinates):
Re 0.000 0.000 0.000
Re 0.750 0.250 0.500
Tc 0.637 0.125 0.250
Tc 0.113 0.625 0.250
Tc 0.375 0.363 0.750
Tc 0.875 0.887 0.750
Ni 0.500 0.500 0.000
Ni 0.250 0.750 0.500

No. 6
The following is a DFT calculation (PBE) of an optimized crystal structure of Re2TcNi.

DOS(E_F) = 0.6710 states/eV/atom
energy of formation from the pure elements = 75 meV/atom
electronic total energy = -10.186 eV per atom
E above lowest polymorph = 61 meV per atom

abc: 8.891 8.891 8.891
angles: 17.64 17.64 17.64
Atoms (fractional coordinates):
Ni 0.750 0.750 0.750
Re 0.002 0.002 0.002
Re 0.498 0.498 0.498
Tc 0.250 0.250 0.250

No. 7
The following is a DFT calculation (PBE) of an optimized crystal structure of ReTc2Ni.

DOS(E_F) = 0.6735 states/eV/atom
energy of formation from the pure elements = 139 meV/atom
electronic total energy = -9.601 eV per atom
E above lowest polymorph = 132 meV per atom

abc: 3.152 3.152 5.591
angles: 90.00 90.00 90.00
Atoms (fractional coordinates):
Ni 0.000 0.000 0.503
Re 0.500 0.500 0.724
Tc 0.000 0.000 0.998
Tc 0.500 0.500 0.275

No. 8
The following is a DFT calculation (PBE) of an optimized crystal structure of Re2TcNi.

DOS(E_F) = 1.2048 states/eV/atom
energy of formation from the pure elements = 91 meV/atom
electronic total energy = -10.170 eV per atom
E above lowest polymorph = 77 meV per atom

abc: 4.640 4.640 4.678
angles: 80.52 80.52 34.45
Atoms (fractional coordinates):
Ni 0.749 0.749 0.754
Re 0.002 0.002 0.989
Re 0.250 0.250 0.253
Tc 0.500 0.500 0.504

No. 9
The following is a DFT calculation (PBE) of an optimized crystal structure of ReTc2Ni.

DOS(E_F) = 0.8085 states/eV/atom
energy of formation from the pure elements = 27 meV/atom
electronic total energy = -9.714 eV per atom
E above lowest polymorph = 19 meV per atom

abc: 4.652 4.652 4.652
angles: 131.55 131.54 70.94
Atoms (fractional coordinates):
Ni 0.500 0.500 0.000
Re 0.250 0.750 0.500
Tc 0.000 0.000 0.000
Tc 0.750 0.250 0.500

No. 10
The following is a DFT calculation (PBE) of an optimized crystal structure of ReTc2Ni.

DOS(E_F) = 0.7699 states/eV/atom
energy of formation from the pure elements = 7 meV/atom
electronic total energy = -9.733 eV per atom
E above lowest polymorph = 0 meV per atom

abc: 3.809 3.810 3.790
angles: 90.00 90.00 90.00
Atoms (fractional coordinates):
Ni 0.500 0.000 0.500
Re 0.000 0.500 0.500
Tc 0.000 0.000 0.000
Tc 0.500 0.500 0.000

No. 11
The following is a DFT calculation (PBE) of an optimized crystal structure of ReTc2Ni.

DOS(E_F) = 1.2684 states/eV/atom
energy of formation from the pure elements = 89 meV/atom
electronic total energy = -9.652 eV per atom
E above lowest polymorph = 81 meV per atom

abc: 4.635 4.635 4.669
angles: 80.79 80.79 34.25
Atoms (fractional coordinates):
Ni 0.501 0.501 0.495
Re 0.247 0.247 0.260
Tc 0.000 0.000 0.997
Tc 0.751 0.751 0.748

No. 12
The following is a DFT calculation (PBE) of an optimized crystal structure of ReTcNi2.

DOS(E_F) = 1.5290 states/eV/atom
energy of formation from the pure elements = 63 meV/atom
electronic total energy = -8.531 eV per atom
E above lowest polymorph = 96 meV per atom

abc: 3.824 2.594 5.792
angles: 63.35 90.00 90.00
Atoms (fractional coordinates):
Ni 0.000 0.998 0.002
Ni 0.000 0.502 0.498
Re 0.500 0.250 0.250
Tc 0.500 0.750 0.750

No. 13
The following is a DFT calculation (PBE) of an optimized crystal structure of ReTcNi4.

DOS(E_F) = 0.9873 states/eV/atom
energy of formation from the pure elements = 35 meV/atom
electronic total energy = -7.622 eV per atom
E above lowest polymorph = 70 meV per atom

abc: 4.656 4.656 4.656
angles: 60.00 60.00 60.00
Atoms (fractional coordinates):
Re 0.750 0.750 0.750
Tc 0.000 0.000 0.000
Ni 0.875 0.375 0.375
Ni 0.375 0.375 0.875
Ni 0.375 0.875 0.375
Ni 0.375 0.375 0.375

No. 14
The following is a DFT calculation (PBE) of an optimized crystal structure of Re2TcNi.

DOS(E_F) = 0.8098 states/eV/atom
energy of formation from the pure elements = 302 meV/atom
electronic total energy = -9.959 eV per atom
E above lowest polymorph = 288 meV per atom

abc: 4.305 4.305 4.305
angles: 60.00 60.00 60.00
Atoms (fractional coordinates):
Re 0.250 0.250 0.250
Re 0.750 0.750 0.750
Tc 0.500 0.500 0.500
Ni 0.000 0.000 0.000

No. 15
The following is a DFT calculation (PBE) of an optimized crystal structure of ReTcNi3.

DOS(E_F) = 1.0629 states/eV/atom
energy of formation from the pure elements = 1659 meV/atom
electronic total energy = -6.373 eV per atom
E above lowest polymorph = 0 meV per atom

abc: 4.434 4.434 4.434
angles: 90.00 90.00 90.00
Atoms (fractional coordinates):
Re 0.000 0.000 0.000
Tc 0.500 0.500 0.500
Ni 0.000 0.500 0.000
Ni 0.000 0.000 0.500
Ni 0.500 0.000 0.000

No. 16
The following is a DFT calculation (PBE) of an optimized crystal structure of Zr2ReTcNi.

DOS(E_F) = 1.3584 states/eV/atom
energy of formation from the pure elements = 1132 meV/atom
electronic total energy = -8.006 eV per atom

abc: 4.967 4.616 4.967
angles: 90.00 90.00 90.00
Atoms (fractional coordinates):
Re 0.000 0.500 0.000
Tc 0.000 0.000 0.000
Zr 0.000 0.000 0.500
Zr 0.500 0.000 0.000
Ni 0.500 0.500 0.500

No. 17
The following is a DFT calculation (PBE) of an optimized crystal structure of Re3NiTe.

energy relative to the elements, uncorrected = 9.0 eV per formula unit
DOS(E_F) = 1.6260 states/eV/atom
electronic total energy = -7.445 eV per atom
E above lowest polymorph = 0 meV per atom

abc: 4.513 4.513 4.513
angles: 90.00 90.00 90.00
Atoms (fractional coordinates):
Re 0.000 0.500 0.000
Re 0.000 0.000 0.500
Re 0.500 0.000 0.000
Te 0.500 0.500 0.500
Ni 0.000 0.000 0.000

No. 18
The following is a DFT calculation (PBE) of an optimized crystal structure of ReNiTe4.

energy relative to the elements, uncorrected = 9.9 eV per formula unit
DOS(E_F) = 1.6817 states/eV/atom
electronic total energy = -3.475 eV per atom

abc: 6.155 6.155 6.155
angles: 60.00 60.00 60.00
Atoms (fractional coordinates):
Re 0.000 0.000 0.000
Ni 0.750 0.750 0.750
Te 0.875 0.375 0.375
Te 0.375 0.375 0.875
Te 0.375 0.875 0.375
Te 0.375 0.375 0.375

No. 19
The following is a DFT calculation (PBE) of an optimized crystal structure of Re3NiTe.

energy relative to the elements, uncorrected = 14.1 eV per formula unit
DOS(E_F) = 1.0675 states/eV/atom
electronic total energy = -6.430 eV per atom
E above lowest polymorph = 1016 meV per atom

abc: 4.781 4.781 4.781
angles: 90.00 90.00 90.00
Atoms (fractional coordinates):
Re 0.000 0.500 0.000
Re 0.000 0.000 0.500
Re 0.500 0.000 0.000
Te 0.000 0.000 0.000
Ni 0.500 0.500 0.500

No. 20
The following is a DFT calculation (PBE) of an optimized crystal structure of TiRe2NiTe.

energy relative to the elements, uncorrected = 8.0 eV per formula unit
DOS(E_F) = 1.4854 states/eV/atom
electronic total energy = -6.746 eV per atom

abc: 4.645 4.645 4.394
angles: 90.00 90.00 90.00
Atoms (fractional coordinates):
Re 0.000 0.500 0.000
Re 0.500 0.000 0.000
Te 0.500 0.500 0.500
Ti 0.000 0.000 0.000
Ni 0.000 0.000 0.500

No. 21
The following is a DFT calculation (PBE) of an optimized crystal structure of VRe2NiTe.

energy relative to the elements, uncorrected = 10.9 eV per formula unit
DOS(E_F) = 2.2332 states/eV/atom
electronic total energy = -6.399 eV per atom

abc: 4.833 4.409 4.833
angles: 90.00 90.00 90.00
Atoms (fractional coordinates):
Re 0.000 0.000 0.500
Re 0.500 0.000 0.000
V 0.500 0.500 0.500
Te 0.000 0.000 0.000
Ni 0.000 0.500 0.000

No. 22
The following is a DFT calculation (PBE) of an optimized crystal structure of Zn2ReNiTe.

energy relative to the elements, uncorrected = 8.2 eV per formula unit
DOS(E_F) = 0.5638 states/eV/atom
electronic total energy = -3.135 eV per atom

abc: 5.138 4.568 5.138
angles: 90.00 90.00 90.00
Atoms (fractional coordinates):
Re 0.500 0.500 0.500
Zn 0.000 0.000 0.500
Zn 0.500 0.000 0.000
Te 0.000 0.000 0.000
Ni 0.000 0.500 0.000

No. 23
The following is a DFT calculation (PBE) of an optimized crystal structure of Th8ReNi2.

DOS(E_F) = 1.2506 states/eV/atom
energy of formation from the pure elements = -3 meV/atom
electronic total energy = -7.582 eV per atom

abc: 5.863 7.780 7.780
angles: 116.78 100.30 100.30
Atoms (fractional coordinates):
Th 0.571 0.332 0.094
Th 0.571 0.094 0.332
Th 0.172 0.374 0.374
Th 0.994 0.205 0.765
Th 0.994 0.765 0.205
Th 0.823 0.631 0.631
Th 0.413 0.912 0.681
Th 0.413 0.681 0.912
Re 0.007 0.002 0.002
Ni 0.521 0.719 0.319
Ni 0.521 0.319 0.719

No. 24
The following is a DFT calculation (PBE) of an optimized crystal structure of ThReNi2.

DOS(E_F) = 1.1363 states/eV/atom
energy of formation from the pure elements = -118 meV/atom
electronic total energy = -7.976 eV per atom

abc: 4.215 4.215 5.357
angles: 66.83 66.83 60.00
Atoms (fractional coordinates):
Re 0.000 0.000 0.000
Th 0.500 0.500 0.500
Ni 0.303 0.303 0.090
Ni 0.697 0.697 0.910

No. 25
The following is a DFT calculation (PBE) of an optimized crystal structure of YThReNi.

DOS(E_F) = 0.7350 states/eV/atom
energy of formation from the pure elements = -77 meV/atom
electronic total energy = -8.106 eV per atom

abc: 4.925 4.925 4.925
angles: 60.00 60.00 60.00
Atoms (fractional coordinates):
Y 0.250 0.250 0.250
Re 0.500 0.500 0.500
Th 0.750 0.750 0.750
Ni 0.000 0.000 0.000

No. 26
The following is a DFT calculation (PBE) of an optimized crystal structure of Ti2ReNi.

DOS(E_F) = 0.6473 states/eV/atom
energy of formation from the pure elements = -315 meV/atom
electronic total energy = -8.819 eV per atom
E above lowest polymorph = 125 meV per atom

abc: 4.288 4.288 21.605
angles: 90.00 90.00 120.00
Atoms (fractional coordinates):
Re 0.000 0.000 0.825
Re 0.333 0.667 0.491
Re 0.667 0.333 0.158
Re 0.000 0.000 0.069
Re 0.333 0.667 0.736
Re 0.667 0.333 0.402
Ti 0.000 0.000 0.694
Ti 0.333 0.667 0.361
Ti 0.667 0.333 0.027
Ti 0.000 0.000 0.196
Ti 0.333 0.667 0.863
Ti 0.667 0.333 0.529
Ti 0.000 0.000 0.314
Ti 0.333 0.667 0.981
Ti 0.667 0.333 0.647
Ti 0.000 0.000 0.446
Ti 0.333 0.667 0.113
Ti 0.667 0.333 0.780
Ni 0.000 0.000 0.569
Ni 0.333 0.667 0.236
Ni 0.667 0.333 0.902
Ni 0.000 0.000 0.945
Ni 0.333 0.667 0.611
Ni 0.667 0.333 0.278

No. 27
The following is a DFT calculation (PBE) of an optimized crystal structure of Ti4Re2Ni.

DOS(E_F) = 0.9257 states/eV/atom
energy of formation from the pure elements = -167 meV/atom
electronic total energy = -9.061 eV per atom

abc: 5.292 5.292 5.292
angles: 107.92 110.25 110.25
Atoms (fractional coordinates):
Ti 0.500 0.000 0.000
Ti 0.500 0.500 0.500
Ti 0.000 0.000 0.500
Ti 0.000 0.500 0.000
Re 0.500 0.500 0.000
Re 0.500 0.000 0.500
Ni 0.000 0.000 0.000